No. 1
{
  "formula": "RbSc2TiOs",
  "functional": "PBE",
  "state": "relaxed",
  "cell": [[4.844, 0.000, 0.000], [0.000, 4.817, 0.000], [0.000, 0.000, 4.844]],
  "species": ["Os", "Sc", "Sc", "Rb", "Ti"],
  "fractional_positions": [[0.000, 0.500, 0.000], [0.500, 0.000, 0.000], [0.000, 0.000, 0.500], [0.000, 0.000, 0.000], [0.500, 0.500, 0.500]],
  "space_group": "P4/mmm (123)",
  "delta_e_f_kj_per_mol_atoms": 202,
  "final_energy_ry_per_atom": -0.328
}

No. 2
{
  "formula": "RbZr2ScOs",
  "functional": "PBE",
  "state": "relaxed",
  "cell": [[-3.594, 0.559, -3.916], [-0.069, -4.753, -0.615], [-3.955, -0.405, 3.572]],
  "species": ["Os", "Sc", "Zr", "Zr", "Rb"],
  "fractional_positions": [[0.000, 0.500, 0.000], [0.000, 0.000, 0.000], [0.000, 0.000, 0.500], [0.500, 0.000, 0.000], [0.500, 0.500, 0.500]],
  "space_group": "P4/mmm (123)",
  "delta_e_f_kj_per_mol_atoms": 142,
  "final_energy_ry_per_atom": -0.415
}

No. 3
{
  "formula": "RbOsSe2",
  "functional": "PBE",
  "state": "relaxed",
  "cell": [[0.000, 3.448, 3.448], [3.448, 0.000, 3.448], [3.448, 3.448, 0.000]],
  "species": ["Os", "Rb", "Se", "Se"],
  "fractional_positions": [[0.500, 0.500, 0.500], [0.000, 0.000, 0.000], [0.250, 0.250, 0.250], [0.750, 0.750, 0.750]],
  "e_form_raw_mev_per_atom": 676,
  "space_group": "Fm-3m (225)",
  "final_energy_ry_per_atom": -0.303
}